# PBE with a Hubbard U PaCd2FeO6, optimized geometry
# Calculated total energy = -6.33 eV per atom
# Total magnetic moment = 2.939 μB per cell
data_PaCd2FeO6
_chemical_formula_sum 'Pa1 Cd2 Fe1 O6'
_cell_length_a 4.519
_cell_length_b 5.652
_cell_length_c 5.652
_cell_angle_alpha 90.00
_cell_angle_beta 90.00
_cell_angle_gamma 90.00
_space_group_name_H-M_alt 'P 1'
_space_group_IT_number 1
loop_
_space_group_symop_operation_xyz
'x,y,z'
loop_
_atom_site_label
_atom_site_fract_x
_atom_site_fract_y
_atom_site_fract_z
_atom_site_occupancy
Pa1 0.633 0.500 0.500 1
Cd1 0.017 0.500 0.000 1
Cd2 0.017 0.000 0.500 1
Fe1 0.628 0.000 0.000 1
O1 0.702 0.237 0.237 1
O2 0.702 0.237 0.763 1
O3 0.151 0.500 0.500 1
O4 0.193 0.000 0.000 1
O5 0.702 0.763 0.763 1
O6 0.702 0.763 0.237 1